The following is a GGA-PBE calculation of an optimized crystal structure of MnTeRu2, from Alexandria.

Fermi-level density of states ... 0.847 states/eV/atom
Formation energy (no corrections) ... 20.2 kJ per mole of atoms

The structure in POSCAR format:
```
MnTeRu2
1.0
-1.213 2.161 2.035
-2.803 -1.557 -0.016
1.873 -3.421 4.749
Mn Ru Te
1 2 1
Cartesian
-0.603 -2.264 4.571
1.852 -3.383 4.697
0.957 -1.748 2.427
-1.540 -0.553 2.196
```